This record from the Alexandria database describes Hf2MnRe2 after structural relaxation. The functional is PBE.

The space group is P4/mbm (No. 127) and the conventional cell measures 7.4677, 7.4677 and 3.1920 Å, with angles of 90.00, 90.00 and 90.00 degrees. Symmetry generates all atoms from Hf at (0.1474, 0.3526, 0.0000), Mn at (0.0000, 0.0000, 0.0000) and Re at (0.1558, 0.6558, 0.5000).

The excess energy over the best structure of this formula in the dataset is 683.9 meV per atom. The spin magnetization comes out at 0.00 μB/atom. The value obtained for the total energy is -100.83 eV for the cell shown. The value obtained for the formation energy is 0.71 eV per atom.